# 1
## TaAs2O2 (SCAN)

Data for a PBEsol-optimized structure of TaAs2O2.

Cell: 5.3182 5.3182 5.7414 Å, 90.00 90.00 90.00°
Fractional coordinates of all 10 atoms:
As1 0.2532 0.7532 0.5000
As2 0.7532 0.7468 0.5000
As3 0.7468 0.2468 0.5000
As4 0.2468 0.2532 0.5000
O1 0.1907 0.6907 0.0000
O2 0.6907 0.8093 0.0000
O3 0.8093 0.3093 0.0000
O4 0.3093 0.1907 0.0000
Ta1 0.0000 0.0000 0.0000
Ta2 0.5000 0.5000 0.0000

Computed properties:
- total moment (μB/f.u.) = 0.00
- E_form (uncorrected) (eV per atom) = -1.07
- SG = P4/mbm, No. 127
- crystal system = tetragonal

# 2
## TaAsO4 (SCAN)

Data for a PBEsol-optimized structure of TaAsO4.

Cell: 3.8846 5.5526 7.4933 Å, 90.00 105.02 90.00°
Fractional coordinates of all 12 atoms:
Ta1 0.5920 0.7031 0.1840
Ta2 0.4080 0.2031 0.8160
As1 0.8224 0.8015 0.6448
As2 0.1776 0.3015 0.3552
O1 0.8915 0.1218 0.7830
O2 0.7053 0.8999 0.4107
O3 0.6720 0.4047 0.3441
O4 0.5183 0.9842 0.0367
O5 0.4817 0.4842 0.9633
O6 0.3280 0.9047 0.6559
O7 0.2947 0.3999 0.5893
O8 0.1085 0.6218 0.2170

Computed properties:
- total moment (μB/f.u.) = 0.00
- E_form (uncorrected) (eV per atom) = -2.21
- SG = Cmc2_1, No. 36
- crystal system = orthorhombic

# 3
## TbAsO4 (SCAN)

Data for a PBEsol-optimized structure of TbAsO4.

Cell: 5.9224 5.9224 5.9224 Å, 106.48 106.48 115.63°
Fractional coordinates of all 12 atoms:
Tb1 0.5000 0.5000 0.0000
Tb2 0.7500 0.2500 0.5000
As1 0.0000 0.0000 0.0000
As2 0.2500 0.7500 0.5000
O1 0.4273 0.1095 0.6822
O2 0.3595 0.1773 0.1822
O3 0.9950 0.1773 0.8178
O4 0.4273 0.7450 0.3178
O5 0.8905 0.5727 0.3178
O6 0.8227 0.6405 0.8178
O7 0.8227 0.0050 0.1822
O8 0.2550 0.5727 0.6822

Computed properties:
- total moment (μB/f.u.) = 0.00
- E_form (uncorrected) (eV per atom) = -2.63
- SG = I4_1/amd, No. 141
- crystal system = tetragonal

# 4
## TcAsO2 (SCAN)

Data for a PBEsol-optimized structure of TcAsO2.

Cell: 2.7930 2.7930 7.0411 Å, 78.56 78.56 60.00°
Fractional coordinates of all 4 atoms:
As1 0.0000 0.0000 0.0000
Tc1 0.5000 0.5000 0.5000
O1 0.8968 0.8968 0.3096
O2 0.1032 0.1032 0.6904

Computed properties:
- total moment (μB/f.u.) = 0.00
- E_form (uncorrected) (eV per atom) = -0.90
- SG = R-3m, No. 166
- crystal system = trigonal

# 5
## Te3AsO (SCAN)

Data for a PBEsol-optimized structure of Te3AsO.

Cell: 4.7832 4.7832 4.7832 Å, 90.00 90.00 90.00°
Fractional coordinates of all 5 atoms:
As1 0.5000 0.5000 0.5000
Te1 0.0000 0.5000 0.0000
Te2 0.0000 0.0000 0.5000
Te3 0.5000 0.0000 0.0000
O1 0.0000 0.0000 0.0000

Computed properties:
- total moment (μB/f.u.) = 0.00
- E_form (uncorrected) (eV per atom) = 0.45
- SG = Pm-3m, No. 221
- crystal system = cubic
- excess energy over the best structure of this formula in the dataset (eV/atom) = 0.0000

# 6
## Te3AsO (SCAN)

Data for a PBEsol-optimized structure of Te3AsO.

Cell: 5.3348 5.3348 5.3348 Å, 90.00 90.00 90.00°
Last column: magnetic moment on the atom in μB.
Fractional coordinates of all 5 atoms:
As1 0.0000 0.0000 0.0000  -0.01
Te1 0.0000 0.5000 0.0000  0.22
Te2 0.0000 0.0000 0.5000  0.22
Te3 0.5000 0.0000 0.0000  0.22
O1 0.5000 0.5000 0.5000  1.40

Computed properties:
- total moment (μB/f.u.) = 2.67
- E_form (uncorrected) (eV per atom) = 1.02
- SG = Pm-3m, No. 221
- crystal system = cubic
- excess energy over the best structure of this formula in the dataset (eV/atom) = 0.5646

# 7
## Te3As2O11 (SCAN)

Data for a PBEsol-optimized structure of Te3As2O11.

Cell: 6.5965 7.6679 10.4628 Å, 68.33 91.37 79.17°
Fractional coordinates of all 32 atoms:
Te1 0.6925 0.7731 0.4820
Te2 0.3075 0.2269 0.5180
Te3 0.7979 0.3353 0.2036
Te4 0.2021 0.6647 0.7964
Te5 0.7621 0.9484 0.1567
Te6 0.2379 0.0516 0.8433
As1 0.3140 0.2892 0.1132
As2 0.6860 0.7108 0.8868
As3 0.1906 0.7217 0.3946
As4 0.8094 0.2783 0.6054
O1 0.1934 0.4055 0.9458
O2 0.8066 0.5945 0.0542
O3 0.7452 0.0374 0.3113
O4 0.2548 0.9626 0.6887
O5 0.4785 0.4137 0.1541
O6 0.5215 0.5863 0.8459
O7 0.7019 0.7144 0.3194
O8 0.2981 0.2856 0.6806
O9 0.0809 0.8461 0.2283
O10 0.9191 0.1539 0.7717
O11 0.0137 0.6930 0.5160
O12 0.9863 0.3070 0.4840
O13 0.8217 0.2208 0.0694
O14 0.1783 0.7792 0.9306
O15 0.4385 0.0697 0.1160
O16 0.5615 0.9303 0.8840
O17 0.3592 0.8335 0.4458
O18 0.6408 0.1665 0.5542
O19 0.1332 0.2710 0.2293
O20 0.8668 0.7290 0.7707
O21 0.3209 0.5004 0.4023
O22 0.6791 0.4996 0.5977

Computed properties:
- total moment (μB/f.u.) = 0.00
- E_form (uncorrected) (eV per atom) = -1.17
- SG = P-1, No. 2
- crystal system = triclinic

# 8
## TiAsO3 (SCAN)

Data for a PBEsol-optimized structure of TiAsO3.

Cell: 3.8413 3.8413 3.8413 Å, 90.00 90.00 90.00°
Fractional coordinates of all 5 atoms:
As1 0.5000 0.5000 0.5000
O1 0.0000 0.5000 0.0000
O2 0.0000 0.0000 0.5000
O3 0.5000 0.0000 0.0000
Ti1 0.0000 0.0000 0.0000

Computed properties:
- total moment (μB/f.u.) = 0.00
- E_form (uncorrected) (eV per atom) = -1.70
- SG = Pm-3m, No. 221
- crystal system = cubic